# ZrBeAlBr2, PBEsol geometry, DFT SCAN
# - uncorrected formation energy (meV per atom) = 552
# - space-group type = P4/mmm
data_ZrBeAlBr2
_chemical_formula_sum 'Zr1 Be1 Al1 Br2'
_cell_length_a 5.2598
_cell_length_b 5.2598
_cell_length_c 4.3691
_cell_angle_alpha 90.00
_cell_angle_beta 90.00
_cell_angle_gamma 90.00
_symmetry_space_group_name_H-M 'P 1'
_symmetry_Int_Tables_number 1
loop_
_symmetry_equiv_pos_as_xyz
'x,y,z'
loop_
_atom_site_label
_atom_site_fract_x
_atom_site_fract_y
_atom_site_fract_z
Zr1 0.0000 0.0000 0.0000
Be1 0.5000 0.5000 0.0000
Al1 0.5000 0.5000 0.5000
Br1 0.0000 0.5000 0.5000
Br2 0.5000 0.0000 0.5000



# BeAl2CCl, PBEsol geometry, DFT SCAN
# - uncorrected formation energy (meV per atom) = 634
# - space-group type = P4/mmm
data_BeAl2CCl
_chemical_formula_sum 'Be1 Al2 C1 Cl1'
_cell_length_a 3.7281
_cell_length_b 3.7281
_cell_length_c 6.3063
_cell_angle_alpha 90.00
_cell_angle_beta 90.00
_cell_angle_gamma 90.00
_symmetry_space_group_name_H-M 'P 1'
_symmetry_Int_Tables_number 1
loop_
_symmetry_equiv_pos_as_xyz
'x,y,z'
loop_
_atom_site_label
_atom_site_fract_x
_atom_site_fract_y
_atom_site_fract_z
Be1 0.0000 0.0000 0.0000
Al1 0.0000 0.5000 0.5000
Al2 0.5000 0.0000 0.5000
C1 0.5000 0.5000 0.5000
Cl1 0.5000 0.5000 0.0000



# Be2AlSbC, PBEsol geometry, DFT SCAN
# - uncorrected formation energy (meV per atom) = 2271
# - space-group type = P4/mmm
data_Be2AlSbC
_chemical_formula_sum 'Be2 Al1 Sb1 C1'
_cell_length_a 4.3463
_cell_length_b 4.3463
_cell_length_c 5.5068
_cell_angle_alpha 90.00
_cell_angle_beta 90.00
_cell_angle_gamma 90.00
_symmetry_space_group_name_H-M 'P 1'
_symmetry_Int_Tables_number 1
loop_
_symmetry_equiv_pos_as_xyz
'x,y,z'
loop_
_atom_site_label
_atom_site_fract_x
_atom_site_fract_y
_atom_site_fract_z
Be1 0.0000 0.5000 0.0000
Be2 0.5000 0.0000 0.0000
Al1 0.0000 0.0000 0.5000
Sb1 0.0000 0.0000 0.0000
C1 0.5000 0.5000 0.5000



# CaBeAl2, PBEsol geometry, DFT SCAN
# - formation energy (meV/atom) = 94
# - space-group type = P2/m
data_CaBeAl2
_chemical_formula_sum 'Ca1 Be1 Al2'
_cell_length_a 3.3939
_cell_length_b 4.1547
_cell_length_c 5.5345
_cell_angle_alpha 90.00
_cell_angle_beta 102.98
_cell_angle_gamma 90.00
_symmetry_space_group_name_H-M 'P 1'
_symmetry_Int_Tables_number 1
loop_
_symmetry_equiv_pos_as_xyz
'x,y,z'
loop_
_atom_site_label
_atom_site_fract_x
_atom_site_fract_y
_atom_site_fract_z
Ca1 0.0000 0.0000 0.0000
Be1 0.5000 0.0000 0.5000
Al1 0.3628 0.5000 0.7011
Al2 0.6372 0.5000 0.2989